A plane-wave DFT calculation with PBE was carried out for a relaxed structure of AcDy2Cd.

DFT formation energy: -0.119 eV/atom
Energy relative to the lowest polymorph listed for this composition: 0 meV/atom
Symmetry: No. 123

Cell: 3.767 3.767 8.992 Å, 90.00 90.00 90.00°
Element x y z (fractional)
Ac 0.000 0.000 0.000
Dy 0.500 0.500 0.294
Dy 0.500 0.500 0.706
Cd 0.000 0.000 0.500